Entry from the Alexandria database: an optimized crystal structure of Nb2SnPb2 (PBE).

Structure (extended XYZ):
```
5
Lattice="-2.684 3.106 -0.165 -2.457 -1.983 2.628 0.778 3.748 6.766" Properties=species:S:1:pos:R:3 pbc="T T T"
Nb -2.399 3.733 6.995
Nb -1.964 1.139 2.234
Pb -2.238 3.708 3.916
Pb -2.125 1.164 5.313
Sn 0.000 0.000 0.000
```

* density of states at the Fermi level: 3.22 states/eV/f.u.
* size of the total moment: 0.000 μB/cell
* symmetry: I4/mmm, No. 139
* excess energy over the best structure of this formula in the dataset: 270 meV per atom
* E_form: 51 kJ/mol of atoms